[1]
Computed, not measured: a relaxed CeY2TmSe6 crystal at the PBE-GGA level of DFT.

a = 7.2675 Å, b = 7.2674 Å, c = 7.7414 Å
α = 62.01°, β = 62.00°, γ = 60.00°
Positions (direct):
Se 0.6061 0.2252 0.2480
Se 0.3998 0.7208 0.7519
Ce 0.8141 0.8141 0.5578
Se 0.7208 0.1274 0.7520
Y 0.5160 0.5160 0.4520
Se 0.1274 0.3998 0.7519
Se 0.9206 0.6061 0.2480
Se 0.2252 0.9206 0.2480
Tm 0.3192 0.3192 0.0423
Y 0.0123 0.0123 0.9632

* E_form (uncorrected): -1.8220 eV per atom
* density of states at the Fermi level: 0.495 states/eV per atom
* size of the total moment: 1.01 μB/f.u.



[2]
Computed, not measured: a relaxed Ce3YTm2Se6 crystal at the PBE-GGA level of DFT.

a = 7.0678 Å, b = 7.0678 Å, c = 7.2669 Å
α = 99.33°, β = 99.33°, γ = 120.05°
Positions (direct):
Ce 0.5000 0.5000 0.5000
Se 0.0784 0.4156 0.2351
Tm 0.3331 0.6669 0.0000
Se 0.2597 0.2597 0.7668
Se 0.7403 0.7403 0.2332
Ce 0.8353 0.1647 0.5000
Y 0.0000 0.0000 0.0000
Ce 0.1647 0.8353 0.5000
Se 0.9216 0.5844 0.7649
Se 0.5844 0.9216 0.7649
Se 0.4156 0.0784 0.2351
Tm 0.6669 0.3331 0.0000

* E_form (uncorrected): -1.7750 eV per atom
* density of states at the Fermi level: 1.569 states/eV per atom
* size of the total moment: 3.04 μB/f.u.



[3]
Computed, not measured: a relaxed Ce3Y4TmSe8 crystal at the PBE-GGA level of DFT.

a = 8.2328 Å, b = 8.2563 Å, c = 8.2327 Å
α = 119.90°, β = 120.00°, γ = 90.00°
Positions (direct):
Ce 0.0000 0.5000 0.5000
Se 0.7523 0.2456 0.9932
Se 0.7535 0.7606 0.5071
Y 0.0000 0.0000 0.0000
Se 0.2465 0.2394 0.4929
Ce 0.5000 0.5000 0.0000
Se 0.2409 0.2456 0.9932
Y 0.5000 0.0000 0.5000
Se 0.7523 0.2456 0.5047
Y 0.5000 0.0000 0.0000
Se 0.2477 0.7544 0.0068
Tm 0.0000 0.5000 0.0000
Se 0.2477 0.7544 0.4953
Y 0.0000 0.0000 0.5000
Ce 0.5000 0.5000 0.5000
Se 0.7591 0.7544 0.0068

* E_form (uncorrected): -1.7784 eV per atom
* density of states at the Fermi level: 1.342 states/eV per atom
* size of the total moment: 2.84 μB/f.u.



[4]
Computed, not measured: a relaxed Ce3Y2TmSe6 crystal at the PBE-GGA level of DFT.

a = 7.1023 Å, b = 7.1023 Å, c = 7.2629 Å
α = 99.38°, β = 99.38°, γ = 120.05°
Positions (direct):
Ce 0.1686 0.8314 0.5000
Ce 0.5000 0.5000 0.5000
Se 0.5920 0.9215 0.7640
Y 0.3336 0.6664 0.0000
Se 0.7501 0.7501 0.2380
Tm 0.0000 0.0000 0.0000
Se 0.0785 0.4080 0.2360
Se 0.2499 0.2499 0.7620
Ce 0.8314 0.1686 0.5000
Se 0.9215 0.5920 0.7640
Se 0.4080 0.0785 0.2360
Y 0.6664 0.3336 0.0000

* E_form (uncorrected): -1.7904 eV per atom
* density of states at the Fermi level: 1.592 states/eV per atom
* size of the total moment: 3.03 μB/f.u.



[5]
Computed, not measured: a relaxed Ce3YTm3Se8 crystal at the PBE-GGA level of DFT.

a = 8.1487 Å, b = 8.1497 Å, c = 8.2694 Å
α = 119.53°, β = 90.00°, γ = 120.00°
Positions (direct):
Ce 0.5000 0.5000 0.0000
Tm 0.5000 0.0000 0.5000
Se 0.7444 0.4888 0.7332
Tm 0.5000 0.5000 0.5000
Y 0.0000 0.0000 0.5000
Se 0.7488 0.4977 0.2603
Ce 0.0000 0.0000 0.0000
Se 0.2511 0.9885 0.7397
Se 0.7374 0.9885 0.7397
Tm 0.0000 0.5000 0.5000
Se 0.2512 0.5023 0.7397
Ce 0.0000 0.5000 0.0000
Se 0.2556 0.5112 0.2668
Se 0.2626 0.0115 0.2603
Se 0.7489 0.0115 0.2603

* E_form (uncorrected): -1.8197 eV per atom
* density of states at the Fermi level: 1.351 states/eV per atom
* size of the total moment: 3.87 μB/f.u.



[6]
Computed, not measured: a relaxed CeU4Se6 crystal at the PBE-GGA level of DFT.

a = 3.9940 Å, b = 6.9919 Å, c = 20.7284 Å
α = 90.00°, β = 90.00°, γ = 106.60°
Positions (direct):
Ce 0.3324 0.6647 0.7500
Se 0.9439 0.8878 0.8333
Se 0.3307 0.6614 0.2500
Se 0.6693 0.3386 0.7500
U 0.8567 0.7134 0.5372
Se 0.5000 0.0000 0.5000
Se 0.0561 0.1122 0.1667
U 0.1433 0.2866 0.4628
U 0.8567 0.7134 0.9628
U 0.1433 0.2866 0.0372
Se 0.2308 0.4616 0.5948
U 0.4161 0.8322 0.3762
Se 0.5000 0.0000 0.0000
U 0.5839 0.1678 0.6238
Se 0.7692 0.5384 0.0948
U 0.4161 0.8322 0.1238
Se 0.9439 0.8878 0.6667
Se 0.2308 0.4616 0.9052
Se 0.0561 0.1122 0.3333
Ce 0.6676 0.3353 0.2500
Se 0.7692 0.5384 0.4052
U 0.5839 0.1678 0.8762

* E_form (uncorrected): -1.2004 eV per atom
* density of states at the Fermi level: 2.290 states/eV per atom
* size of the total moment: 11.93 μB/f.u.



[7]
Computed, not measured: a relaxed Ce5USe6 crystal at the PBE-GGA level of DFT.

a = 7.2386 Å, b = 7.2280 Å, c = 7.2315 Å
α = 60.02°, β = 80.40°, γ = 70.51°
Positions (direct):
Se 0.2465 0.9180 0.6712
Ce 0.5000 0.5000 0.0000
Ce 0.5000 0.1688 0.6624
Ce 0.0000 0.6663 0.6673
Se 0.7535 0.4108 0.6712
Se 0.7535 0.0820 0.3288
Se 0.2465 0.5892 0.3288
Se 0.2488 0.2454 0.0000
Ce 0.5000 0.8312 0.3376
Se 0.7512 0.7546 0.0000
U 0.0000 0.0000 0.0000
Ce 0.0000 0.3337 0.3327

* E_form (uncorrected): -1.6734 eV per atom
* density of states at the Fermi level: 2.930 states/eV per atom
* size of the total moment: 7.08 μB/f.u.



[8]
Computed, not measured: a relaxed Ce2USe6 crystal at the PBE-GGA level of DFT.

a = 4.1455 Å, b = 7.7575 Å, c = 7.7574 Å
α = 120.00°, β = 90.00°, γ = 90.00°
Positions (direct):
Se 0.0000 0.7461 0.7461
U 0.5000 0.0000 0.0000
Se 0.5000 0.0000 0.5986
Se 0.5000 0.5986 0.0000
Se 0.0000 0.2540 0.0000
Se 0.0000 0.0000 0.2539
Ce 0.0000 0.3333 0.6666
Ce 0.0000 0.6667 0.3334
Se 0.5000 0.4014 0.4014

* E_form (uncorrected): -1.4544 eV per atom
* density of states at the Fermi level: 1.424 states/eV per atom
* size of the total moment: 2.10 μB/f.u.
* polymorph energy (0 for the lowest one): 0 meV/atom



[9]
Computed, not measured: a relaxed CeU2Se6 crystal at the PBE-GGA level of DFT.

a = 5.2619 Å, b = 5.2619 Å, c = 11.1227 Å
α = 103.68°, β = 103.68°, γ = 90.00°
Positions (direct):
U 0.8117 0.8117 0.6234
Se 0.7500 0.2500 0.5000
Se 0.6754 0.6754 0.8173
Se 0.1419 0.1419 0.8173
Se 0.2500 0.7500 0.5000
Se 0.3246 0.8581 0.1827
U 0.1883 0.1883 0.3766
Se 0.8581 0.3246 0.1827
Ce 0.5000 0.5000 0.0000

* E_form (uncorrected): -0.9638 eV per atom
* density of states at the Fermi level: 2.116 states/eV per atom
* size of the total moment: 4.01 μB/f.u.
* polymorph energy (0 for the lowest one): 312 meV/atom



[10]
Computed, not measured: a relaxed Ce2USe4 crystal at the PBE-GGA level of DFT.

a = 7.6406 Å, b = 7.6406 Å, c = 7.6406 Å
α = 109.39°, β = 109.39°, γ = 109.63°
Positions (direct):
Se 0.5292 0.1296 0.7501
Ce 0.2509 0.8750 0.8759
Se 0.8704 0.6205 0.3996
Se 0.0291 0.1295 0.7499
Ce 0.9991 0.3750 0.1241
Se 0.8705 0.6204 0.8996
Ce 0.6250 0.7491 0.6241
Se 0.2209 0.4708 0.6004
Se 0.3796 0.2792 0.2501
U 0.7500 0.2500 0.5000
U 0.5000 0.5000 0.0000
Se 0.3795 0.7791 0.2499
Se 0.7208 0.9709 0.1004
Ce 0.1250 0.0009 0.3759

* E_form (uncorrected): -1.5949 eV per atom
* density of states at the Fermi level: 2.032 states/eV per atom
* size of the total moment: 6.00 μB/f.u.
* polymorph energy (0 for the lowest one): 0 meV/atom



[11]
Computed, not measured: a relaxed Ce2U3Se8 crystal at the PBE-GGA level of DFT.

a = 6.9617 Å, b = 8.2605 Å, c = 8.4915 Å
α = 119.10°, β = 106.12°, γ = 90.00°
Positions (direct):
Se 0.4120 0.8839 0.2427
Se 0.0835 0.8832 0.7664
Ce 0.6657 0.7415 0.4830
U 0.0000 0.7445 0.0000
Se 0.9165 0.1168 0.2336
Se 0.4120 0.3588 0.2427
U 0.0000 0.2555 0.0000
Ce 0.3343 0.2585 0.5170
U 0.5000 0.0000 0.0000
Se 0.5880 0.1161 0.7573
Se 0.9201 0.6157 0.2313
Se 0.5880 0.6412 0.7573
Se 0.0799 0.3843 0.7687

* E_form (uncorrected): -1.3415 eV per atom
* density of states at the Fermi level: 2.123 states/eV per atom
* size of the total moment: 10.00 μB/f.u.
* polymorph energy (0 for the lowest one): 17 meV/atom



[12]
Computed, not measured: a relaxed Ce2USe4 crystal at the PBE-GGA level of DFT.

a = 4.0660 Å, b = 7.2576 Å, c = 13.8500 Å
α = 90.00°, β = 90.00°, γ = 106.27°
Positions (direct):
Ce 0.1340 0.2681 0.0688
Se 0.5000 0.0000 0.0000
Se 0.9733 0.9466 0.7500
Ce 0.8660 0.7319 0.9312
Se 0.5000 0.0000 0.5000
U 0.6222 0.2445 0.7500
Se 0.0267 0.0534 0.2500
Ce 0.8660 0.7319 0.5688
Se 0.2232 0.4463 0.8720
Se 0.2232 0.4463 0.6280
Ce 0.1340 0.2681 0.4312
U 0.3778 0.7555 0.2500
Se 0.7768 0.5537 0.3720
Se 0.7768 0.5537 0.1280

* E_form (uncorrected): -1.5028 eV per atom
* density of states at the Fermi level: 2.631 states/eV per atom
* size of the total moment: 5.41 μB/f.u.
* polymorph energy (0 for the lowest one): 92 meV/atom



[13]
Computed, not measured: a relaxed CeU5Se6 crystal at the PBE-GGA level of DFT.

a = 7.2056 Å, b = 6.8762 Å, c = 7.1007 Å
α = 61.04°, β = 80.33°, γ = 69.69°
Positions (direct):
Se 0.2548 0.5758 0.3377
U 0.0000 0.6687 0.6627
Ce 0.0000 0.0000 0.0000
Se 0.7452 0.0865 0.3377
Se 0.2481 0.2575 0.0000
U 0.5000 0.8370 0.3260
Se 0.7519 0.7425 0.0000
Se 0.7452 0.4242 0.6623
U 0.5000 0.5000 0.0000
Se 0.2548 0.9135 0.6623
U 0.5000 0.1630 0.6740
U 0.0000 0.3313 0.3373

* E_form (uncorrected): -1.1248 eV per atom
* density of states at the Fermi level: 2.587 states/eV per atom
* size of the total moment: 14.30 μB/f.u.



[14]
Computed, not measured: a relaxed CeU2Se5 crystal at the PBE-GGA level of DFT.

a = 7.4166 Å, b = 7.4166 Å, c = 8.5806 Å
α = 115.61°, β = 115.61°, γ = 90.00°
Positions (direct):
Se 0.8153 0.9763 0.2916
Se 0.1847 0.0237 0.7084
Se 0.5237 0.6847 0.7084
Se 0.0000 0.0000 0.0000
Se 0.9763 0.4763 0.2916
U 0.6170 0.1170 0.0000
Se 0.4763 0.3153 0.2916
Se 0.0237 0.5237 0.7084
Ce 0.2500 0.2500 0.5000
Se 0.6847 0.1847 0.7084
Se 0.3153 0.8153 0.2916
Se 0.5000 0.5000 0.0000
U 0.3830 0.8830 0.0000
U 0.1170 0.3830 0.0000
U 0.8830 0.6170 0.0000
Ce 0.7500 0.7500 0.5000

* E_form (uncorrected): -1.3339 eV per atom
* density of states at the Fermi level: 1.371 states/eV per atom
* size of the total moment: 1.87 μB/f.u.
* polymorph energy (0 for the lowest one): 3 meV/atom



[15]
Computed, not measured: a relaxed CeU2Se4 crystal at the PBE-GGA level of DFT.

a = 7.5724 Å, b = 7.5724 Å, c = 7.5724 Å
α = 109.43°, β = 109.55°, γ = 109.43°
Positions (direct):
Se 0.7759 0.2494 0.8690
Se 0.2765 0.2506 0.8696
U 0.8750 0.1233 0.4983
Se 0.9741 0.5931 0.7235
U 0.2483 0.6233 0.1250
Se 0.6190 0.7494 0.0259
Ce 0.0000 0.0000 0.0000
Se 0.6196 0.7506 0.5265
Se 0.1304 0.4069 0.3810
U 0.5017 0.3767 0.6250
U 0.3750 0.8767 0.7517
Se 0.1310 0.9069 0.3804
Ce 0.7500 0.5000 0.2500
Se 0.4735 0.0931 0.2241

* E_form (uncorrected): -1.3430 eV per atom
* density of states at the Fermi level: 2.073 states/eV per atom
* size of the total moment: 7.91 μB/f.u.
* polymorph energy (0 for the lowest one): 0 meV/atom



[16]
Computed, not measured: a relaxed Ce2USe3 crystal at the PBE-GGA level of DFT.

a = 7.1068 Å, b = 7.1068 Å, c = 7.3301 Å
α = 99.30°, β = 99.30°, γ = 120.01°
Positions (direct):
U 0.6661 0.3339 0.0000
U 0.0006 0.9994 0.0000
Se 0.5903 0.9237 0.7565
Ce 0.3333 0.6667 0.0000
Se 0.2510 0.2466 0.7537
Ce 0.1691 0.8309 0.5000
Se 0.0763 0.4097 0.2435
Se 0.9133 0.5843 0.7537
Ce 0.4976 0.5024 0.5000
Ce 0.8333 0.1667 0.5000
Se 0.7534 0.7490 0.2463
Se 0.4157 0.0867 0.2463

* E_form (uncorrected): -1.5317 eV per atom
* density of states at the Fermi level: 2.633 states/eV per atom
* size of the total moment: 2.33 μB/f.u.



[17]
Computed, not measured: a relaxed Ce6USe12 crystal at the PBE-GGA level of DFT.

a = 8.4118 Å, b = 8.4118 Å, c = 8.4118 Å
α = 99.22°, β = 99.22°, γ = 99.22°
Positions (direct):
Ce 0.3089 0.1378 0.6276
Se 0.6769 0.9332 0.0393
Ce 0.3724 0.6911 0.8622
Se 0.9332 0.0393 0.6769
U 0.0000 0.0000 0.0000
Se 0.4297 0.5802 0.1774
Se 0.3231 0.0668 0.9607
Se 0.8226 0.5703 0.4198
Se 0.0668 0.9607 0.3231
Ce 0.6276 0.3089 0.1378
Se 0.0393 0.6769 0.9332
Se 0.5703 0.4198 0.8226
Se 0.1774 0.4297 0.5802
Ce 0.6911 0.8622 0.3724
Ce 0.8622 0.3724 0.6911
Ce 0.1378 0.6276 0.3089
Se 0.4198 0.8226 0.5703
Se 0.5802 0.1774 0.4297
Se 0.9607 0.3231 0.0668

* E_form (uncorrected): -1.6597 eV per atom
* density of states at the Fermi level: 2.014 states/eV per atom
* size of the total moment: 6.01 μB/f.u.



[18]
Computed, not measured: a relaxed CeUSe2 crystal at the PBE-GGA level of DFT.

a = 4.1015 Å, b = 4.1015 Å, c = 7.2231 Å
α = 73.43°, β = 73.43°, γ = 60.10°
Positions (direct):
Se 0.7526 0.7526 0.7422
U 0.5000 0.5000 0.5000
Ce 0.0000 0.0000 0.0000
Se 0.2474 0.2474 0.2578

* E_form (uncorrected): -1.4002 eV per atom
* density of states at the Fermi level: 2.715 states/eV per atom
* size of the total moment: 3.54 μB/f.u.
* polymorph energy (0 for the lowest one): 0 meV/atom



[19]
Computed, not measured: a relaxed CeU2Se4 crystal at the PBE-GGA level of DFT.

a = 4.0181 Å, b = 7.0364 Å, c = 13.8685 Å
α = 90.00°, β = 90.00°, γ = 106.59°
Positions (direct):
Se 0.0493 0.0986 0.2500
Se 0.7754 0.5508 0.3727
Se 0.9507 0.9014 0.7500
U 0.1369 0.2737 0.4376
U 0.8631 0.7263 0.9376
Se 0.2246 0.4492 0.6273
Se 0.2246 0.4492 0.8727
U 0.1369 0.2737 0.0624
Ce 0.6124 0.2247 0.7500
U 0.8631 0.7263 0.5624
Ce 0.3876 0.7753 0.2500
Se 0.5000 0.0000 0.0000
Se 0.7754 0.5508 0.1273
Se 0.5000 0.0000 0.5000

* E_form (uncorrected): -1.2965 eV per atom
* density of states at the Fermi level: 2.404 states/eV per atom
* size of the total moment: 7.39 μB/f.u.
* polymorph energy (0 for the lowest one): 47 meV/atom



[20]
Computed, not measured: a relaxed CeUSe2 crystal at the PBE-GGA level of DFT.

a = 3.9057 Å, b = 7.7274 Å, c = 6.8256 Å
α = 90.00°, β = 90.00°, γ = 90.00°
Positions (direct):
Ce 0.5000 0.0000 0.5000
Ce 0.5000 0.5000 0.5000
U 0.0000 0.5000 0.0000
Se 0.0000 0.2500 0.6760
Se 0.0000 0.7500 0.3240
U 0.0000 0.0000 0.0000
Se 0.5000 0.7500 0.8392
Se 0.5000 0.2500 0.1608

* E_form (uncorrected): -1.2385 eV per atom
* density of states at the Fermi level: 2.357 states/eV per atom
* size of the total moment: 4.67 μB/f.u.
* polymorph energy (0 for the lowest one): 162 meV/atom